No. 1
First-principles (PBE) data for a relaxed structure of GaTe2Br, as listed in the Alexandria database.

Computed properties:
Space-group type = R-3m
Magnetic moment = 0.00 μB per cell
Crystal system = trigonal
E above lowest polymorph = 89 kJ/mol of formula units

a = 8.914 Å, b = 8.914 Å, c = 8.914 Å
α = 27.54°, β = 27.54°, γ = 27.54°
Atoms (fractional coordinates):
1 Ga 0.000 0.000 0.000
2 Te 0.391 0.391 0.391
3 Te 0.609 0.609 0.609
4 Br 0.500 0.500 0.500

=====

No. 2
First-principles (PBE) data for a relaxed structure of Ru2SCl, as listed in the Alexandria database.

Computed properties:
Space-group type = Fm-3m
Magnetic moment = 0.00 μB per cell
Crystal system = cubic
E above lowest polymorph = 123 kJ/mol of formula units

a = 4.295 Å, b = 4.295 Å, c = 4.295 Å
α = 60.00°, β = 60.00°, γ = 60.00°
Atoms (fractional coordinates):
1 Ru 0.250 0.250 0.250
2 Ru 0.750 0.750 0.750
3 S 0.000 0.000 0.000
4 Cl 0.500 0.500 0.500

=====

No. 3
First-principles (PBE) data for a relaxed structure of CaRhIO6, as listed in the Alexandria database.

Computed properties:
Space-group type = P-31c
Magnetic moment = 0.00 μB per cell
Crystal system = trigonal
Final energy = -5.67 eV/atom

a = 5.252 Å, b = 5.252 Å, c = 10.111 Å
α = 90.00°, β = 90.00°, γ = 120.00°
Atoms (fractional coordinates):
1 Ca 0.000 0.000 0.000
2 Ca 0.000 0.000 0.500
3 Rh 0.333 0.667 0.250
4 Rh 0.667 0.333 0.750
5 I 0.333 0.667 0.750
6 I 0.667 0.333 0.250
7 O 0.013 0.371 0.643
8 O 0.013 0.642 0.857
9 O 0.358 0.371 0.857
10 O 0.358 0.987 0.643
11 O 0.371 0.013 0.143
12 O 0.371 0.358 0.357
13 O 0.629 0.642 0.643
14 O 0.629 0.987 0.857
15 O 0.642 0.013 0.357
16 O 0.642 0.629 0.143
17 O 0.987 0.358 0.143
18 O 0.987 0.629 0.357

=====

No. 4
First-principles (PBE) data for a relaxed structure of TlAsPb2, as listed in the Alexandria database.

Computed properties:
Space-group type = Cm
Magnetic moment = 0.00 μB per cell
Crystal system = monoclinic
Energy of formation from the pure elements = 0.02 eV/atom
E above lowest polymorph = 0 kJ/mol of formula units

a = 6.200 Å, b = 6.200 Å, c = 5.762 Å
α = 116.83°, β = 116.83°, γ = 38.25°
Atoms (fractional coordinates):
1 Tl 0.000 0.000 0.000
2 As 0.722 0.722 0.385
3 Pb 0.212 0.212 0.748
4 Pb 0.415 0.415 0.414

=====

No. 5
First-principles (PBE) data for a relaxed structure of Ba4AsSe2I, as listed in the Alexandria database.

Computed properties:
Space-group type = P2/m
Magnetic moment = 0.00 μB per cell
Crystal system = monoclinic
Final energy = -4.31 eV/atom

a = 8.295 Å, b = 4.813 Å, c = 8.384 Å
α = 90.00°, β = 108.70°, γ = 90.00°
Atoms (fractional coordinates):
1 Ba 0.234 0.000 0.222
2 Ba 0.248 0.500 0.766
3 Ba 0.752 0.500 0.234
4 Ba 0.766 0.000 0.778
5 As 0.500 0.000 0.000
6 Se 0.000 0.000 0.500
7 Se 0.000 0.500 0.000
8 I 0.500 0.500 0.500

=====

No. 6
First-principles (PBE) data for a relaxed structure of BaNiOs, as listed in the Alexandria database.

Computed properties:
Space-group type = P-6m2
Magnetic moment = 1.17 μB per cell
Crystal system = hexagonal
Energy of formation from the pure elements = 0.50 eV/atom
E above lowest polymorph = 0 kJ/mol of formula units

a = 4.095 Å, b = 4.095 Å, c = 5.028 Å
α = 90.00°, β = 90.00°, γ = 120.00°
Atoms (fractional coordinates):
1 Ba 0.000 0.000 0.000
2 Ni 0.667 0.333 0.500
3 Os 0.333 0.667 0.500